# 1
Entry from Alexandria via LeMat-Bulk: an optimized crystal structure of Rh2Au (PBE-GGA).

Lattice parameters (Å, degrees): 3.643 3.643 4.112 90.00 90.00 90.00
Positions (direct):
Rh 0.000 0.500 0.500
Rh 0.500 0.000 0.500
Au 0.000 0.000 0.000

Computed properties:
Space-group type ... No. 123
Energy relative to the lowest polymorph listed for this composition ... 1.43 eV/f.u.
DFT total energy ... -5.39 eV/atom

***

# 2
Entry from Alexandria via LeMat-Bulk: an optimized crystal structure of RhAu2 (PBE-GGA).

Lattice parameters (Å, degrees): 5.007 5.007 5.007 140.29 140.29 57.41
Positions (direct):
Rh 0.000 0.000 0.000
Au 0.664 0.664 0.000
Au 0.336 0.336 0.000

Computed properties:
Space-group type ... No. 139
Energy relative to the lowest polymorph listed for this composition ... 0.22 eV/f.u.
DFT total energy ... -4.42 eV/atom

***

# 3
Entry from Alexandria via LeMat-Bulk: an optimized crystal structure of Rh2Au (PBE-GGA).

Lattice parameters (Å, degrees): 4.883 4.883 4.883 146.44 133.15 58.85
Positions (direct):
Rh 0.327 0.327 0.000
Rh 0.673 0.673 0.000
Au 0.000 0.000 0.000

Computed properties:
Space-group type ... No. 71
Energy relative to the lowest polymorph listed for this composition ... 0.17 eV/f.u.
DFT total energy ... -5.81 eV/atom

***

Calculated values (kJ per mole of atoms) of formation enthalpy at 0 K for the records, taken in order: 58, 21, 17.